1.
# TbYEr2Se4 | Alexandria via LeMat-Bulk | PBE | optimized geometry
data_TbYEr2Se4
_cell_length_a 7.0416
_cell_length_b 4.0122
_cell_length_c 7.0977
_cell_angle_alpha 90.00
_cell_angle_beta 108.82
_cell_angle_gamma 90.00
_space_group_name_H-M_alt 'P 1 2/m 1'
_space_group_IT_number 10
loop_
_space_group_symop_operation_xyz
'x,y,z'
'-x,-y,-z'
'-x,y,-z'
'x,-y,z'
loop_
_atom_site_label
_atom_site_type_symbol
_atom_site_fract_x
_atom_site_fract_y
_atom_site_fract_z
_atom_site_occupancy
Tb1 Tb 0.0000 0.0000 0.0000 1
Y1 Y 0.5000 0.5000 0.0000 1
Er1 Er 0.0000 0.5000 0.5000 1
Er2 Er 0.5000 0.0000 0.5000 1
Se1 Se 0.2486 0.0000 0.7448 1
Se2 Se 0.2522 0.5000 0.2556 1
# crystal system: monoclinic
# density of states at the Fermi level: 0.580 states/eV/atom
# formation energy without anion corrections: -167 kJ/mol of atoms
# density: 7.9 g/cm³

2.
# MgNpI2 | Alexandria via LeMat-Bulk | PBE | optimized geometry
data_MgNpI2
_cell_length_a 3.9226
_cell_length_b 3.9226
_cell_length_c 30.4893
_cell_angle_alpha 90.00
_cell_angle_beta 90.00
_cell_angle_gamma 120.00
_space_group_name_H-M_alt 'R -3 m'
_space_group_IT_number 166
_space_group_name_Hall '-R 3 2"'
loop_
_atom_site_label
_atom_site_type_symbol
_atom_site_fract_x
_atom_site_fract_y
_atom_site_fract_z
_atom_site_occupancy
Mg1 Mg 0.0000 0.0000 0.0000 1
Np1 Np 0.0000 0.0000 0.5000 1
I1 I 0.0000 0.0000 0.3927 1
# crystal system: trigonal
# density of states at the Fermi level: 2.907 states/eV/atom
# formation energy without anion corrections: 0 kJ/mol of atoms
# density: 6.3 g/cm³

3.
# TaAgPt2 | Alexandria via LeMat-Bulk | PBE | optimized geometry
data_TaAgPt2
_cell_length_a 9.2156
_cell_length_b 2.8536
_cell_length_c 5.1060
_cell_angle_alpha 90.00
_cell_angle_beta 99.83
_cell_angle_gamma 90.00
_space_group_name_H-M_alt 'C 1 2/m 1'
_space_group_IT_number 12
loop_
_space_group_symop_operation_xyz
'x,y,z'
'-x,-y,-z'
'-x,y,-z'
'x,-y,z'
'x+1/2,y+1/2,z'
'-x+1/2,-y+1/2,-z'
'-x+1/2,y+1/2,-z'
'x+1/2,-y+1/2,z'
loop_
_atom_site_label
_atom_site_type_symbol
_atom_site_fract_x
_atom_site_fract_y
_atom_site_fract_z
_atom_site_occupancy
Ta1 Ta 0.0000 0.0000 0.0000 1
Ag1 Ag 0.0000 0.5000 0.5000 1
Pt1 Pt 0.2458 0.5000 0.2419 1
# crystal system: monoclinic
# density of states at the Fermi level: 0.605 states/eV/atom
# density: 17.0 g/cm³
# formation energy from the elements: -83.9 kJ/mol of formula units

4.
# Sn3BiPb | Alexandria via LeMat-Bulk | PBE | optimized geometry
data_Sn3BiPb
_cell_length_a 5.8802
_cell_length_b 5.8802
_cell_length_c 5.8802
_cell_angle_alpha 90.00
_cell_angle_beta 90.00
_cell_angle_gamma 90.00
_space_group_name_H-M_alt 'P m -3 m'
_space_group_IT_number 221
_space_group_name_Hall '-P 4 2 3'
loop_
_atom_site_label
_atom_site_type_symbol
_atom_site_fract_x
_atom_site_fract_y
_atom_site_fract_z
_atom_site_occupancy
Sn1 Sn 0.0000 0.0000 0.5000 1
Bi1 Bi 0.0000 0.0000 0.0000 1
Pb1 Pb 0.5000 0.5000 0.5000 1
# crystal system: cubic
# density of states at the Fermi level: 0.912 states/eV/atom
# excess energy over the best structure of this formula in the dataset: 2.90 eV/f.u.
# density: 6.3 g/cm³
# formation energy from the elements: 327.7 kJ/mol of formula units

5.
# AcNdAg4 | Alexandria via LeMat-Bulk | PBE | optimized geometry
data_AcNdAg4
_cell_length_a 8.3395
_cell_length_b 8.3395
_cell_length_c 8.3395
_cell_angle_alpha 90.00
_cell_angle_beta 90.00
_cell_angle_gamma 90.00
_space_group_name_H-M_alt 'F -4 3 m'
_space_group_IT_number 216
_space_group_name_Hall 'F -4 2 3'
loop_
_atom_site_label
_atom_site_type_symbol
_atom_site_fract_x
_atom_site_fract_y
_atom_site_fract_z
_atom_site_occupancy
Ac1 Ac 0.0000 0.0000 0.0000 1
Nd1 Nd 0.2500 0.2500 0.7500 1
Ag1 Ag 0.1245 0.1245 0.3755 1
# crystal system: cubic
# density of states at the Fermi level: 0.947 states/eV/atom
# excess energy over the best structure of this formula in the dataset: 0.84 eV/f.u.
# density: 9.2 g/cm³
# formation energy from the elements: -82.5 kJ/mol of formula units

6.
# NaLiHg3 | Alexandria via LeMat-Bulk | PBE | optimized geometry
data_NaLiHg3
_cell_length_a 13.0149
_cell_length_b 6.3888
_cell_length_c 5.8443
_cell_angle_alpha 90.00
_cell_angle_beta 99.89
_cell_angle_gamma 90.00
_space_group_name_H-M_alt 'C 1 2/m 1'
_space_group_IT_number 12
loop_
_space_group_symop_operation_xyz
'x,y,z'
'-x,-y,-z'
'-x,y,-z'
'x,-y,z'
'x+1/2,y+1/2,z'
'-x+1/2,-y+1/2,-z'
'-x+1/2,y+1/2,-z'
'x+1/2,-y+1/2,z'
loop_
_atom_site_label
_atom_site_type_symbol
_atom_site_fract_x
_atom_site_fract_y
_atom_site_fract_z
_atom_site_occupancy
Na1 Na 0.0988 0.0000 0.2824 1
Li1 Li 0.0000 0.5000 0.0000 1
Li2 Li 0.0000 0.5000 0.5000 1
Hg1 Hg 0.1371 0.2470 0.8045 1
Hg2 Hg 0.1819 0.5000 0.3310 1
# crystal system: monoclinic
# density of states at the Fermi level: 0.338 states/eV/atom
# excess energy over the best structure of this formula in the dataset: 0.03 eV/f.u.
# density: 8.8 g/cm³
# formation energy from the elements: -112.3 kJ/mol of formula units

7.
# Li3Zn2PtO6 | Alexandria via LeMat-Bulk | PBE | optimized geometry
data_Li3Zn2PtO6
_cell_length_a 5.3116
_cell_length_b 9.1760
_cell_length_c 5.1605
_cell_angle_alpha 90.00
_cell_angle_beta 110.55
_cell_angle_gamma 90.00
_space_group_name_H-M_alt 'C 1 2/m 1'
_space_group_IT_number 12
loop_
_space_group_symop_operation_xyz
'x,y,z'
'-x,-y,-z'
'-x,y,-z'
'x,-y,z'
'x+1/2,y+1/2,z'
'-x+1/2,-y+1/2,-z'
'-x+1/2,y+1/2,-z'
'x+1/2,-y+1/2,z'
loop_
_atom_site_label
_atom_site_type_symbol
_atom_site_fract_x
_atom_site_fract_y
_atom_site_fract_z
_atom_site_occupancy
Li1 Li 0.0000 0.0000 0.0000 1
Li2 Li 0.0000 0.3346 0.0000 1
Zn1 Zn 0.0000 0.1676 0.5000 1
Pt1 Pt 0.0000 0.5000 0.5000 1
O1 O 0.2370 0.3413 0.7366 1
O2 O 0.2387 0.5000 0.2700 1
# crystal system: monoclinic
# density of states at the Fermi level: 0.717 states/eV/atom
# formation energy without anion corrections: -131 kJ/mol of atoms
# density: 6.2 g/cm³

8.
# TaRe3N | Alexandria via LeMat-Bulk | PBE | optimized geometry
data_TaRe3N
_cell_length_a 4.1062
_cell_length_b 4.1062
_cell_length_c 4.1062
_cell_angle_alpha 90.00
_cell_angle_beta 90.00
_cell_angle_gamma 90.00
_space_group_name_H-M_alt 'P m -3 m'
_space_group_IT_number 221
_space_group_name_Hall '-P 4 2 3'
loop_
_atom_site_label
_atom_site_type_symbol
_atom_site_fract_x
_atom_site_fract_y
_atom_site_fract_z
_atom_site_occupancy
Ta1 Ta 0.0000 0.0000 0.0000 1
Re1 Re 0.0000 0.5000 0.5000 1
N1 N 0.5000 0.5000 0.5000 1
# crystal system: cubic
# density of states at the Fermi level: 0.707 states/eV/atom
# excess energy over the best structure of this formula in the dataset: 0.00 eV/f.u.
# formation energy without anion corrections: 6 kJ/mol of atoms
# density: 18.1 g/cm³

9.
# Ba2Tl4Pd3Pt | Alexandria via LeMat-Bulk | PBE | optimized geometry
data_Ba2Tl4Pd3Pt
_cell_length_a 4.9152
_cell_length_b 4.9152
_cell_length_c 11.0237
_cell_angle_alpha 90.00
_cell_angle_beta 90.00
_cell_angle_gamma 90.00
_space_group_name_H-M_alt 'P -4 m 2'
_space_group_IT_number 115
loop_
_space_group_symop_operation_xyz
'x,y,z'
'y,-x,-z'
'-x,-y,z'
'-y,x,-z'
'-x,y,z'
'-y,-x,-z'
'x,-y,z'
'y,x,-z'
loop_
_atom_site_label
_atom_site_type_symbol
_atom_site_fract_x
_atom_site_fract_y
_atom_site_fract_z
_atom_site_occupancy
Ba1 Ba 0.0000 0.5000 0.2320 1
Tl1 Tl 0.0000 0.0000 0.5000 1
Tl2 Tl 0.0000 0.5000 0.8800 1
Tl3 Tl 0.5000 0.5000 0.5000 1
Pd1 Pd 0.0000 0.0000 0.0000 1
Pd2 Pd 0.0000 0.5000 0.6306 1
Pt1 Pt 0.5000 0.5000 0.0000 1
# crystal system: tetragonal
# density of states at the Fermi level: 0.520 states/eV/atom
# density: 10.0 g/cm³
# formation energy from the elements: -402.0 kJ/mol of formula units

10.
# VMoPt3 | Alexandria via LeMat-Bulk | PBE | optimized geometry
data_VMoPt3
_cell_length_a 7.6886
_cell_length_b 7.6886
_cell_length_c 9.2268
_cell_angle_alpha 90.00
_cell_angle_beta 90.00
_cell_angle_gamma 120.00
_space_group_name_H-M_alt 'R -3'
_space_group_IT_number 148
_space_group_name_Hall '-R 3'
loop_
_atom_site_label
_atom_site_type_symbol
_atom_site_fract_x
_atom_site_fract_y
_atom_site_fract_z
_atom_site_occupancy
V1 V 0.0000 0.0000 0.1177 1
Mo1 Mo 0.0000 0.0000 0.3744 1
Pt1 Pt 0.0039 0.3445 0.4145 1
# crystal system: trigonal
# density of states at the Fermi level: 0.621 states/eV/atom
# excess energy over the best structure of this formula in the dataset: 0.00 eV/f.u.
# density: 15.4 g/cm³
# formation energy from the elements: -33.7 kJ/mol of formula units

11.
# Pr2NdEr3 | Alexandria via LeMat-Bulk | PBE | optimized geometry
data_Pr2NdEr3
_cell_length_a 16.8077
_cell_length_b 5.7311
_cell_length_c 9.8379
_cell_angle_alpha 90.00
_cell_angle_beta 121.96
_cell_angle_gamma 90.00
_space_group_name_H-M_alt 'C 1 2/m 1'
_space_group_IT_number 12
loop_
_space_group_symop_operation_xyz
'x,y,z'
'-x,-y,-z'
'-x,y,-z'
'x,-y,z'
'x+1/2,y+1/2,z'
'-x+1/2,-y+1/2,-z'
'-x+1/2,y+1/2,-z'
'x+1/2,-y+1/2,z'
loop_
_atom_site_label
_atom_site_type_symbol
_atom_site_fract_x
_atom_site_fract_y
_atom_site_fract_z
_atom_site_occupancy
Pr1 Pr 0.1110 0.0000 0.0631 1
Pr2 Pr 0.1468 0.5000 0.6534 1
Nd1 Nd 0.0473 0.5000 0.2171 1
Er1 Er 0.0440 0.0000 0.6817 1
Er2 Er 0.1930 0.0000 0.4984 1
Er3 Er 0.2196 0.5000 0.0686 1
# crystal system: monoclinic
# density of states at the Fermi level: 1.544 states/eV/atom
# excess energy over the best structure of this formula in the dataset: 0.00 eV/f.u.
# density: 7.7 g/cm³
# formation energy from the elements: 58.7 kJ/mol of formula units

12.
# Cs3Li2NdCl9 | Alexandria via LeMat-Bulk | PBE | optimized geometry
data_Cs3Li2NdCl9
_cell_length_a 7.4817
_cell_length_b 7.4817
_cell_length_c 9.3524
_cell_angle_alpha 90.00
_cell_angle_beta 90.00
_cell_angle_gamma 120.00
_space_group_name_H-M_alt 'P -3 m 1'
_space_group_IT_number 164
_space_group_name_Hall '-P 3 2"'
loop_
_atom_site_label
_atom_site_type_symbol
_atom_site_fract_x
_atom_site_fract_y
_atom_site_fract_z
_atom_site_occupancy
Cs1 Cs 0.0000 0.0000 0.0000 1
Cs2 Cs 0.3333 0.6667 0.6773 1
Li1 Li 0.3333 0.6667 0.1539 1
Nd1 Nd 0.0000 0.0000 0.5000 1
Cl1 Cl 0.0000 0.5000 0.0000 1
Cl2 Cl 0.1707 0.3415 0.3287 1
# crystal system: trigonal
# density of states at the Fermi level: 1.095 states/eV/atom
# formation energy without anion corrections: -179 kJ/mol of atoms
# density: 3.2 g/cm³